(1)
{
  "formula": "Cs2YCl",
  "functional": "PBE-GGA",
  "state": "relaxed",
  "lattice_angstrom": [[13.8480, 0.0000, 0.0000], [0.0000, 13.8480, 0.0000], [0.0000, 0.0000, 5.3257]],
  "species": ["Cs", "Cs", "Cs", "Cs", "Cs", "Cs", "Cs", "Cs", "Y", "Y", "Y", "Y", "Cl", "Cl", "Cl", "Cl"],
  "frac_coords": [[0.0995, 0.2500, 0.1250], [0.2500, 0.5995, 0.3750], [0.2500, 0.9005, 0.8750], [0.4005, 0.2500, 0.6250], [0.5995, 0.7500, 0.6250], [0.7500, 0.0995, 0.8750], [0.7500, 0.4005, 0.3750], [0.9005, 0.7500, 0.1250], [0.0000, 0.0000, 0.5000], [0.0000, 0.5000, 0.7500], [0.5000, 0.0000, 0.2500], [0.5000, 0.5000, 0.0000], [0.0000, 0.0000, 0.0000], [0.0000, 0.5000, 0.2500], [0.5000, 0.0000, 0.7500], [0.5000, 0.5000, 0.5000]],
  "e_above_lowest_polymorph_ev_per_atom": 0.0000,
  "dft_energy_ev_per_atom": -2.827,
  "volume_a3_per_atom": 63.831,
  "sg": "I-42d (122)",
  "dos_at_fermi_per_ev_cell": 20.87,
  "raw_formation_energy_ev_per_atom": -0.323
}

(2)
{
  "formula": "CdSe2Br",
  "functional": "PBE-GGA",
  "state": "relaxed",
  "lattice_angstrom": [[7.1502, 0.0000, 0.0000], [0.0000, 7.1502, 0.0000], [0.0000, 0.0000, 7.1502]],
  "species": ["Cd", "Cd", "Cd", "Cd", "Se", "Se", "Se", "Se", "Se", "Se", "Se", "Se", "Br", "Br", "Br", "Br"],
  "frac_coords": [[0.0000, 0.0000, 0.0000], [0.0000, 0.5000, 0.5000], [0.5000, 0.0000, 0.5000], [0.5000, 0.5000, 0.0000], [0.2500, 0.2500, 0.2500], [0.2500, 0.2500, 0.7500], [0.2500, 0.7500, 0.2500], [0.2500, 0.7500, 0.7500], [0.7500, 0.2500, 0.2500], [0.7500, 0.2500, 0.7500], [0.7500, 0.7500, 0.2500], [0.7500, 0.7500, 0.7500], [0.0000, 0.0000, 0.5000], [0.0000, 0.5000, 0.0000], [0.5000, 0.0000, 0.0000], [0.5000, 0.5000, 0.5000]],
  "e_above_lowest_polymorph_ev_per_atom": 0.6771,
  "dft_energy_ev_per_atom": -2.010,
  "volume_a3_per_atom": 22.847,
  "sg": "Fm-3m (225)",
  "dos_at_fermi_per_ev_cell": 28.25,
  "raw_formation_energy_ev_per_atom": 0.379
}

(3)
{
  "formula": "ErB4",
  "functional": "PBE-GGA",
  "state": "relaxed",
  "lattice_angstrom": [[8.4019, 0.0000, 0.0000], [0.0000, 8.4019, 0.0000], [0.0000, 0.0000, 4.1810]],
  "species": ["Er", "Er", "Er", "Er", "B", "B", "B", "B", "B", "B", "B", "B", "B", "B", "B", "B", "B", "B", "B", "B"],
  "frac_coords": [[0.1378, 0.3622, 0.0000], [0.3622, 0.8622, 0.0000], [0.6378, 0.1378, 0.0000], [0.8622, 0.6378, 0.0000], [0.0000, 0.0000, 0.3078], [0.0000, 0.0000, 0.6922], [0.0572, 0.8703, 0.0000], [0.0653, 0.5653, 0.5000], [0.1297, 0.0572, 0.0000], [0.3703, 0.5572, 0.0000], [0.4347, 0.0653, 0.5000], [0.4428, 0.3703, 0.0000], [0.5000, 0.5000, 0.3078], [0.5000, 0.5000, 0.6922], [0.5572, 0.6297, 0.0000], [0.5653, 0.9347, 0.5000], [0.6297, 0.4428, 0.0000], [0.8703, 0.9428, 0.0000], [0.9347, 0.4347, 0.5000], [0.9428, 0.1297, 0.0000]],
  "e_above_lowest_polymorph_ev_per_atom": 1.1215,
  "formation_enthalpy_0k_ev_per_atom": 0.5374,
  "dft_energy_ev_per_atom": -5.717,
  "volume_a3_per_atom": 14.757,
  "sg": "P4/mbm (127)",
  "dos_at_fermi_per_ev_cell": 4.54
}

Please write out number 2 again, unchanged.
{
  "formula": "CdSe2Br",
  "functional": "PBE-GGA",
  "state": "relaxed",
  "lattice_angstrom": [[7.1502, 0.0000, 0.0000], [0.0000, 7.1502, 0.0000], [0.0000, 0.0000, 7.1502]],
  "species": ["Cd", "Cd", "Cd", "Cd", "Se", "Se", "Se", "Se", "Se", "Se", "Se", "Se", "Br", "Br", "Br", "Br"],
  "frac_coords": [[0.0000, 0.0000, 0.0000], [0.0000, 0.5000, 0.5000], [0.5000, 0.0000, 0.5000], [0.5000, 0.5000, 0.0000], [0.2500, 0.2500, 0.2500], [0.2500, 0.2500, 0.7500], [0.2500, 0.7500, 0.2500], [0.2500, 0.7500, 0.7500], [0.7500, 0.2500, 0.2500], [0.7500, 0.2500, 0.7500], [0.7500, 0.7500, 0.2500], [0.7500, 0.7500, 0.7500], [0.0000, 0.0000, 0.5000], [0.0000, 0.5000, 0.0000], [0.5000, 0.0000, 0.0000], [0.5000, 0.5000, 0.5000]],
  "e_above_lowest_polymorph_ev_per_atom": 0.6771,
  "dft_energy_ev_per_atom": -2.010,
  "volume_a3_per_atom": 22.847,
  "sg": "Fm-3m (225)",
  "dos_at_fermi_per_ev_cell": 28.25,
  "raw_formation_energy_ev_per_atom": 0.379
}

Which formula does entry 3 have? ErB4